VASP calculation (GGA-PBE) on an optimized crystal structure of BiPt9.

Geometry as POSCAR:
```
BiPt9
1.0
2.9896 0.0000 0.0000
0.0000 3.8165 0.0000
0.0000 0.0000 41.4338
Bi Pt
2 18
Cartesian
0.7474 0.9541 7.2938 Bi
2.2422 2.8624 34.1400 Bi
0.7474 0.9541 10.3304 Pt
0.7474 0.9541 13.1070 Pt
0.7474 0.9541 15.8823 Pt
0.7474 0.9541 18.6487 Pt
0.7474 0.9541 21.4109 Pt
0.7474 0.9541 24.1681 Pt
0.7474 0.9541 26.9300 Pt
0.7474 0.9541 29.7138 Pt
0.7474 0.9541 32.5839 Pt
2.2422 2.8624 8.8499 Pt
2.2422 2.8624 11.7200 Pt
2.2422 2.8624 14.5038 Pt
2.2422 2.8624 17.2658 Pt
2.2422 2.8624 20.0229 Pt
2.2422 2.8624 22.7851 Pt
2.2422 2.8624 25.5515 Pt
2.2422 2.8624 28.3268 Pt
2.2422 2.8624 31.1034 Pt
```

Output
Calculated total energy   -0.4298 Ry/atom